Entry 1:
Material: SrLaSbO
Method: DFT, PBE
State: relaxed

a = 4.6280 Å, b = 4.6280 Å, c = 13.8047 Å
α = 90.00°, β = 90.00°, γ = 120.00°
Fractional positions:
O1 0.0000 0.0000 0.9912
O2 0.0000 0.0000 0.4912
La1 0.0000 0.0000 0.6439
La2 0.0000 0.0000 0.1439
Sr1 0.6667 0.3333 0.4151
Sr2 0.3333 0.6667 0.9151
Sb1 0.3333 0.6667 0.2621
Sb2 0.6667 0.3333 0.7621

Summary:
V in Å³/atom: 32.0
Energy in eV/atom: -5.720
Crystal system: hexagonal
Raw formation energy in meV per atom: -1797

Entry 2:
Material: Sr2La4Sb3O2
Method: DFT, PBE
State: relaxed

a = 4.9321 Å, b = 4.9321 Å, c = 13.7081 Å
α = 100.36°, β = 100.36°, γ = 90.00°
Fractional positions:
La1 0.4184 0.9184 0.8367
La2 0.0816 0.5816 0.1633
La3 0.5816 0.0816 0.1633
La4 0.9184 0.4184 0.8367
Sr1 0.6967 0.6967 0.3935
Sr2 0.3033 0.3033 0.6065
Sb1 0.8263 0.8263 0.6526
Sb2 0.1737 0.1737 0.3474
Sb3 0.0000 0.0000 0.0000
O1 0.5996 0.5996 0.1991
O2 0.4004 0.4004 0.8009

Summary:
V in Å³/atom: 29.3
Energy in eV/atom: -5.886
DOS(E_F) in states/eV/atom: 0.254
Crystal system: tetragonal
Raw formation energy in meV per atom: -1763